Below is a relaxed HgTeHN2 crystal, with properties calculated at the GGA-PBE level.

```
HgTeHN2
1.0
4.217 0.000 0.000
0.000 4.217 0.000
0.000 0.000 6.483
Hg Te H N
1 1 1 2
Cartesian
0.000 0.000 0.000
0.000 0.000 3.242
2.108 2.108 3.242
0.000 2.108 0.000
2.108 0.000 0.000
```

Calculated values
Crystal system: tetragonal
Polymorph energy (0 for the lowest one) in meV per atom: 295
Magnetization in μB per formula unit: 4.160
N(E_F) in states/eV per atom: 0.685
E in eV per atom: -2.40

---

Below is a relaxed IrPtRh crystal, with properties calculated at the GGA-PBE level.

```
IrPtRh
1.0
2.753 0.000 0.000
-1.376 2.384 0.000
0.000 0.000 6.760
Ir Pt Rh
1 1 1
Cartesian
0.000 0.000 0.000
0.000 1.589 2.298
1.376 0.795 4.602
```

Calculated values
Crystal system: trigonal
Polymorph energy (0 for the lowest one) in meV per atom: 35
Magnetization in μB per formula unit: 0.000
N(E_F) in states/eV per atom: 1.296
E in eV per atom: -7.42

---

Q: What is the polymorph energy (0 for the lowest one) in the first record?
A: 295 meV per atom

---

Q: Among the records above, which one has the highest E?
A: HgTeHN2